(1)
The following is a GGA-PBE calculation of a relaxed structure of CaRhAu, from the Alexandria database.

Results
D(E_F) ... 1.305 states/eV/atom
Formation enthalpy at 0 K ... -0.135 eV/atom
Energy ... -4.345 eV/atom

a b c (Å): 4.580 4.580 4.580
angles (deg): 60.00 60.00 60.00
Element x y z (fractional)
Rh (0.250, 0.250, 0.250)
Ca (0.500, 0.500, 0.500)
Au (0.000, 0.000, 0.000)

=====

(2)
The following is a GGA-PBE calculation of a relaxed structure of CaRh2Au2, from the Alexandria database.

Results
D(E_F) ... 1.081 states/eV/atom
Formation enthalpy at 0 K ... -0.134 eV/atom
Energy ... -4.786 eV/atom

a b c (Å): 3.817 3.817 7.274
angles (deg): 74.79 74.79 90.00
Site moments in Bohr magnetons follow the coordinates.
Element x y z (fractional)
Rh (0.750, 0.250, 0.500)  0.72
Rh (0.250, 0.750, 0.500)  0.72
Au (0.400, 0.400, 0.201)  0.02
Au (0.600, 0.600, 0.799)  0.02
Ca (0.000, 0.000, 0.000)  -0.01

=====

(3)
The following is a GGA-PBE calculation of a relaxed structure of CaRhAu4, from the Alexandria database.

Results
D(E_F) ... 0.634 states/eV/atom
Formation enthalpy at 0 K ... -0.193 eV/atom
Energy ... -3.937 eV/atom

a b c (Å): 5.506 5.506 5.506
angles (deg): 60.00 60.00 60.00
Element x y z (fractional)
Au (0.375, 0.375, 0.876)
Au (0.375, 0.375, 0.375)
Au (0.876, 0.375, 0.375)
Au (0.375, 0.876, 0.375)
Ca (0.750, 0.750, 0.750)
Rh (0.000, 0.000, 0.000)

=====

(4)
The following is a GGA-PBE calculation of a relaxed structure of Ca4RhAu, from the Alexandria database.

Results
D(E_F) ... 0.538 states/eV/atom
Formation enthalpy at 0 K ... -0.521 eV/atom
Energy ... -3.626 eV/atom

a b c (Å): 6.471 8.230 8.230
angles (deg): 111.08 107.83 107.83
Element x y z (fractional)
Ca (0.909, 0.053, 0.706)
Ca (0.091, 0.947, 0.294)
Ca (0.722, 0.233, 0.354)
Ca (0.222, 0.354, 0.233)
Ca (0.591, 0.294, 0.947)
Ca (0.778, 0.646, 0.767)
Ca (0.278, 0.767, 0.646)
Ca (0.409, 0.706, 0.053)
Rh (0.250, 0.999, 0.001)
Rh (0.750, 0.001, 0.999)
Au (0.250, 0.364, 0.636)
Au (0.750, 0.636, 0.364)

=====

(5)
The following is a GGA-PBE calculation of a relaxed structure of Ca8RhAu2, from the Alexandria database.

Results
D(E_F) ... 0.915 states/eV/atom
Formation enthalpy at 0 K ... -0.403 eV/atom
Energy ... -3.123 eV/atom

a b c (Å): 5.134 7.166 9.641
angles (deg): 106.42 105.44 90.00
Element x y z (fractional)
Rh (0.500, 0.000, 0.000)
Ca (0.032, 0.805, 0.063)
Ca (0.591, 0.427, 0.181)
Ca (0.792, 0.686, 0.583)
Ca (0.661, 0.962, 0.322)
Ca (0.968, 0.195, 0.937)
Ca (0.208, 0.314, 0.417)
Ca (0.339, 0.038, 0.678)
Ca (0.409, 0.573, 0.819)
Au (0.185, 0.710, 0.370)
Au (0.815, 0.290, 0.630)

=====

(6)
The following is a GGA-PBE calculation of a relaxed structure of CaRhAu, from the Alexandria database.

Results
D(E_F) ... 0.724 states/eV/atom
Formation enthalpy at 0 K ... -0.319 eV/atom
Energy ... -4.529 eV/atom

a b c (Å): 4.899 9.016 6.440
angles (deg): 84.07 67.64 74.24
Element x y z (fractional)
Ca (0.749, 0.779, 0.723)
Ca (0.251, 0.221, 0.277)
Ca (0.528, 0.221, 0.723)
Ca (0.472, 0.779, 0.277)
Rh (0.074, 0.852, 0.000)
Rh (0.193, 0.000, 0.615)
Rh (0.807, 0.000, 0.385)
Rh (0.926, 0.148, 0.000)
Au (0.928, 0.413, 0.730)
Au (0.658, 0.413, 0.270)
Au (0.072, 0.587, 0.270)
Au (0.342, 0.587, 0.730)

=====

(7)
The following is a GGA-PBE calculation of a relaxed structure of CaRhAu, from the Alexandria database.

Results
D(E_F) ... 0.556 states/eV/atom
Formation enthalpy at 0 K ... 0.208 eV/atom
Energy ... -4.002 eV/atom

a b c (Å): 4.590 4.590 4.590
angles (deg): 60.00 60.00 60.00
Element x y z (fractional)
Ca (0.250, 0.250, 0.250)
Rh (0.000, 0.000, 0.000)
Au (0.500, 0.500, 0.500)

=====

(8)
The following is a GGA-PBE calculation of a relaxed structure of Ca5Rh2Au2, from the Alexandria database.

Results
D(E_F) ... 0.448 states/eV/atom
Formation enthalpy at 0 K ... -0.545 eV/atom
Energy ... -4.019 eV/atom

a b c (Å): 7.689 7.664 8.599
angles (deg): 90.00 63.44 90.00
Element x y z (fractional)
Rh (0.623, 0.122, 0.000)
Rh (0.123, 0.378, 0.000)
Rh (0.877, 0.622, 0.000)
Rh (0.377, 0.878, 0.000)
Ca (0.459, 0.168, 0.739)
Ca (0.959, 0.332, 0.739)
Ca (0.302, 0.668, 0.739)
Ca (0.500, 0.500, 0.000)
Ca (0.802, 0.832, 0.739)
Ca (0.041, 0.668, 0.261)
Ca (0.000, 0.000, 0.000)
Ca (0.198, 0.168, 0.261)
Ca (0.541, 0.832, 0.261)
Ca (0.698, 0.332, 0.261)
Au (0.293, 0.500, 0.414)
Au (0.707, 0.500, 0.586)
Au (0.207, 0.000, 0.586)
Au (0.793, 0.000, 0.414)

=====

Question: The lowest D(E_F) belongs to which entry?
Answer: Ca5Rh2Au2